Record 1
# Ca2PmMg9, relaxed, DFT PBE-GGA
# mass density	2.3	Mg/m³
# calculated total energy	-71.69	eV per cell
data_Ca2PmMg9
_cell_length_a 6.1352
_cell_length_b 6.1352
_cell_length_c 29.7025
_cell_angle_alpha 90.00
_cell_angle_beta 90.00
_cell_angle_gamma 120.00
_symmetry_space_group_name_H-M 'R -3 m'
_symmetry_Int_Tables_number 166
_symmetry_space_group_name_Hall '-R 3 2"'
loop_
_atom_site_label
_atom_site_type_symbol
_atom_site_fract_x
_atom_site_fract_y
_atom_site_fract_z
_atom_site_occupancy
Ca1 Ca 0.0000 0.0000 0.1419 1
Pm1 Pm 0.0000 0.0000 0.0000 1
Mg1 Mg 0.0000 0.0000 0.3336 1
Mg2 Mg 0.0000 0.0000 0.5000 1
Mg3 Mg 0.0027 0.5014 0.9176 1

Record 2
# Na7Cd5In, relaxed, DFT PBE-GGA
# mass density	3.8	Mg/m³
# calculated total energy	-34.89	eV per cell
data_Na7Cd5In
_cell_length_a 5.9564
_cell_length_b 10.8507
_cell_length_c 11.3269
_cell_angle_alpha 90.00
_cell_angle_beta 90.00
_cell_angle_gamma 90.00
_symmetry_space_group_name_H-M 'I m m 2'
_symmetry_Int_Tables_number 44
loop_
_symmetry_equiv_pos_as_xyz
'x,y,z'
'-x,-y,z'
'-x,y,z'
'x,-y,z'
'x+1/2,y+1/2,z+1/2'
'-x+1/2,-y+1/2,z+1/2'
'-x+1/2,y+1/2,z+1/2'
'x+1/2,-y+1/2,z+1/2'
loop_
_atom_site_label
_atom_site_type_symbol
_atom_site_fract_x
_atom_site_fract_y
_atom_site_fract_z
_atom_site_occupancy
Na1 Na 0.0000 0.0000 0.0000 1
Na2 Na 0.0000 0.0000 0.3965 1
Na3 Na 0.0000 0.2936 0.8349 1
Na4 Na 0.0000 0.3468 0.3276 1
Na5 Na 0.0000 0.5000 0.6213 1
Cd1 Cd 0.0000 0.5000 0.0599 1
Cd2 Cd 0.2457 0.2392 0.5809 1
In1 In 0.0000 0.0000 0.7042 1

Record 3
# Zr2CdSb, relaxed, DFT PBE-GGA
# formation energy without anion corrections	-0.121	eV per atom
# excess energy over the best structure of this formula in the dataset	210	meV per atom
# mass density	7.1	Mg/m³
data_Zr2CdSb
_cell_length_a 3.1701
_cell_length_b 3.1701
_cell_length_c 9.7289
_cell_angle_alpha 90.00
_cell_angle_beta 90.00
_cell_angle_gamma 90.00
_symmetry_space_group_name_H-M 'P 4 m m'
_symmetry_Int_Tables_number 99
loop_
_symmetry_equiv_pos_as_xyz
'x,y,z'
'-y,x,z'
'-x,-y,z'
'y,-x,z'
'-x,y,z'
'y,x,z'
'x,-y,z'
'-y,-x,z'
loop_
_atom_site_label
_atom_site_type_symbol
_atom_site_fract_x
_atom_site_fract_y
_atom_site_fract_z
_atom_site_occupancy
Zr1 Zr 0.0000 0.0000 0.0000 1
Zr2 Zr 0.5000 0.5000 0.2331 1
Cd1 Cd 0.0000 0.0000 0.4668 1
Sb1 Sb 0.5000 0.5000 0.7663 1

Record 4
# LaCo3Ni, relaxed, DFT PBE-GGA
# excess energy over the best structure of this formula in the dataset	1362	meV per atom
# mass density	6.8	Mg/m³
data_LaCo3Ni
_cell_length_a 4.5022
_cell_length_b 4.5022
_cell_length_c 4.5022
_cell_angle_alpha 90.00
_cell_angle_beta 90.00
_cell_angle_gamma 90.00
_symmetry_space_group_name_H-M 'P m -3 m'
_symmetry_Int_Tables_number 221
_symmetry_space_group_name_Hall '-P 4 2 3'
loop_
_atom_site_label
_atom_site_type_symbol
_atom_site_fract_x
_atom_site_fract_y
_atom_site_fract_z
_atom_site_occupancy
La1 La 0.0000 0.0000 0.0000 1
Co1 Co 0.0000 0.0000 0.5000 1
Ni1 Ni 0.5000 0.5000 0.5000 1

Which value of mass density does entry 3 give? 7.1 Mg/m³